Entry 1:
Entry from the Alexandria database: a geometry-optimized LaNd4Ni2 structure (GGA-PBE).

Calculated values
SG	P2_1/m (11)
energy relative to the elements	-0.61	eV per formula unit
total moment	0.000	μB/atom
volume	391.8	Å³/cell

```
data_LaNd4Ni2
_symmetry_space_group_name_H-M 'P 1'
_symmetry_Int_Tables_number 1
_symmetry_space_group_name_Hall 'P 1'
_cell_length_a 6.798
_cell_length_b 7.308
_cell_length_c 8.509
_cell_angle_alpha 112.08
_cell_angle_beta 90.00
_cell_angle_gamma 90.00
loop_
_atom_site_label
_atom_site_fract_x
_atom_site_fract_y
_atom_site_fract_z
_atom_site_occupancy
Nd1 0.750 0.746 0.644 1
Nd2 0.492 0.599 0.228 1
Ni1 0.750 0.724 0.005 1
Nd3 0.508 0.401 0.772 1
Ni2 0.250 0.611 0.619 1
Ni3 0.750 0.389 0.381 1
Nd4 0.008 0.599 0.228 1
Ni4 0.250 0.276 0.995 1
La1 0.250 0.874 0.972 1
Nd5 0.992 0.401 0.772 1
Nd6 0.750 0.039 0.395 1
Nd7 0.250 0.961 0.605 1
Nd8 0.250 0.254 0.356 1
La2 0.750 0.126 0.028 1
```

Entry 2:
Entry from the Alexandria database: a geometry-optimized LaNd2Ni structure (GGA-PBE).

Calculated values
SG	R3m (160)
energy relative to the elements	-0.23	eV per formula unit
total moment	0.000	μB/atom
volume	124.9	Å³/cell
relative energy among the computed polymorphs	121.3	meV/atom

```
data_LaNd2Ni
_symmetry_space_group_name_H-M 'P 1'
_symmetry_Int_Tables_number 1
_symmetry_space_group_name_Hall 'P 1'
_cell_length_a 3.920
_cell_length_b 3.920
_cell_length_c 9.654
_cell_angle_alpha 78.29
_cell_angle_beta 78.29
_cell_angle_gamma 60.00
loop_
_atom_site_label
_atom_site_fract_x
_atom_site_fract_y
_atom_site_fract_z
_atom_site_occupancy
Nd1 0.058 0.058 0.826 1
Nd2 0.275 0.275 0.176 1
Ni1 0.666 0.666 0.002 1
La1 0.501 0.501 0.496 1
```

Entry 3:
Entry from the Alexandria database: a geometry-optimized LaNdNi3 structure (GGA-PBE).

Calculated values
SG	Cmcm (63)
energy relative to the elements	-1.61	eV per formula unit
total moment	0.000	μB/atom
volume	204.2	Å³/cell
relative energy among the computed polymorphs	0.0	meV/atom

```
data_LaNdNi3
_symmetry_space_group_name_H-M 'P 1'
_symmetry_Int_Tables_number 1
_symmetry_space_group_name_Hall 'P 1'
_cell_length_a 4.083
_cell_length_b 4.008
_cell_length_c 12.636
_cell_angle_alpha 99.13
_cell_angle_beta 90.00
_cell_angle_gamma 90.00
loop_
_atom_site_label
_atom_site_fract_x
_atom_site_fract_y
_atom_site_fract_z
_atom_site_occupancy
Ni1 0.750 0.619 0.239 1
La1 0.750 0.929 0.859 1
Nd1 0.250 0.798 0.595 1
Ni2 0.250 0.381 0.761 1
Ni3 0.250 0.673 0.346 1
La2 0.250 0.071 0.141 1
Nd2 0.750 0.202 0.405 1
Ni4 0.750 0.524 0.049 1
Ni5 0.250 0.476 0.951 1
Ni6 0.750 0.327 0.654 1
```

Entry 4:
Entry from the Alexandria database: a geometry-optimized LaNd2Ni9 structure (GGA-PBE).

Calculated values
SG	R-3m (166)
energy relative to the elements	-3.77	eV per formula unit
total moment	0.008	μB/atom
volume	183.2	Å³/cell

```
data_LaNd2Ni9
_symmetry_space_group_name_H-M 'P 1'
_symmetry_Int_Tables_number 1
_symmetry_space_group_name_Hall 'P 1'
_cell_length_a 5.057
_cell_length_b 5.057
_cell_length_c 8.770
_cell_angle_alpha 73.24
_cell_angle_beta 73.24
_cell_angle_gamma 60.00
loop_
_atom_site_label
_atom_site_fract_x
_atom_site_fract_y
_atom_site_fract_z
_atom_site_occupancy
Ni1 0.419 0.918 0.245 1
Nd1 0.861 0.861 0.417 1
La1 0.000 0.000 0.000 1
Ni2 0.581 0.082 0.755 1
Ni3 0.500 0.500 0.500 1
Ni4 0.082 0.581 0.755 1
Ni5 0.581 0.581 0.755 1
Nd2 0.139 0.139 0.583 1
Ni6 0.419 0.419 0.245 1
Ni7 0.333 0.333 0.002 1
Ni8 0.667 0.667 0.998 1
Ni9 0.918 0.419 0.245 1
```

These records have calculated density values of 7064 6462 7470 8663 kg/m³, in the order they appear.